(1)
PBE TbTlHgTe3, optimized geometry; polymorph energy (0 for the lowest one) = 0.0124 eV/atom; calculated volume = 810 Å³ per cell; ρ = 7763 kg/m³
1.0
15.250 0.000 0.000
0.000 4.469 0.000
0.000 0.000 11.884
Hg Tb Te Tl
4 4 12 4
Cartesian
0.299 1.117 1.274
7.924 1.117 4.668
7.325 3.352 7.216
14.950 3.352 10.611
8.014 3.352 1.871
0.389 3.352 4.071
14.861 1.117 7.813
7.236 1.117 10.013
6.083 1.117 0.946
13.713 3.352 1.480
10.022 1.117 2.761
2.397 1.117 3.181
6.088 3.352 4.462
13.708 1.117 4.996
1.542 3.352 6.888
9.162 1.117 7.422
12.852 3.352 8.704
5.228 3.352 9.123
1.537 1.117 10.404
9.167 3.352 10.938
3.628 3.352 0.614
11.253 3.352 5.328
3.997 1.117 6.556
11.622 1.117 11.270

(2)
PBE TbTlHgTe3, optimized geometry; polymorph energy (0 for the lowest one) = 0.0593 eV/atom; calculated volume = 791 Å³ per cell; ρ = 7946 kg/m³
1.0
12.793 0.000 0.000
0.000 4.570 0.000
0.000 0.000 13.535
Hg Tb Te Tl
4 4 12 4
Cartesian
9.646 0.000 2.686
3.250 0.000 4.082
9.543 2.285 9.453
3.146 2.285 10.849
6.005 2.285 2.513
12.401 2.285 4.255
0.392 0.000 9.281
6.788 0.000 11.022
7.463 0.000 0.899
12.435 0.000 2.081
2.949 2.285 2.311
9.345 2.285 4.456
6.039 0.000 4.687
1.066 0.000 5.869
11.727 2.285 7.667
6.754 2.285 8.848
3.448 0.000 9.079
9.844 0.000 11.224
0.358 2.285 11.455
5.330 2.285 12.636
10.481 2.285 0.145
4.084 2.285 6.622
8.709 0.000 6.913
2.312 0.000 13.390

(3)
PBE TbTlHgTe3, optimized geometry; polymorph energy (0 for the lowest one) = 0.0809 eV/atom; calculated volume = 774 Å³ per cell; ρ = 8124 kg/m³
1.0
-3.494 4.511 6.859
-3.374 -3.211 0.393
10.588 -9.688 11.765
Hg Tb Te Tl
4 4 12 4
Cartesian
-4.135 0.311 8.738
-0.538 -3.637 7.365
4.258 -4.750 11.652
7.855 -8.699 10.279
-3.070 -1.552 2.658
-0.371 -3.364 11.028
4.092 -5.024 7.989
6.791 -6.836 16.359
-4.113 -0.137 5.266
-0.089 -1.487 0.986
-1.341 -3.121 4.693
-2.174 -1.700 9.137
1.917 -2.665 8.585
1.715 -6.127 6.370
2.005 -2.261 12.647
1.803 -5.722 10.432
5.895 -6.687 9.880
5.061 -5.267 14.324
3.809 -6.900 18.031
7.833 -8.250 13.751
-0.820 -0.061 6.357
2.120 -3.408 4.252
1.601 -4.979 14.765
4.540 -8.326 12.660

(4)
PBE TbTlHgTe3, optimized geometry; polymorph energy (0 for the lowest one) = 0.0022 eV/atom; calculated volume = 786 Å³ per cell; ρ = 7998 kg/m³
1.0
-8.435 0.787 7.955
-2.846 -1.927 -2.828
3.851 -13.661 5.435
Hg Tb Te Tl
4 4 12 4
Cartesian
-6.144 -2.822 6.356
-1.649 -4.198 2.770
-5.782 -10.603 7.792
-1.288 -11.979 4.206
-9.498 -4.048 7.065
-5.260 -4.515 3.117
-2.171 -10.287 7.445
2.067 -10.753 3.497
-8.227 -1.204 7.350
-4.796 -1.612 4.175
-3.500 -3.508 0.659
-7.060 -5.447 5.564
0.472 -5.732 1.680
-2.908 -5.505 4.927
-4.524 -9.297 5.635
-7.903 -9.070 8.882
-0.371 -9.354 4.998
-3.931 -11.294 9.903
-2.635 -13.189 6.387
0.795 -13.597 3.212
-8.268 -1.036 3.773
-2.219 -7.926 2.381
-5.212 -6.875 8.181
0.836 -13.766 6.789

(5)
PBE TbThHg, optimized geometry; ΔE_f = 0.09 eV per atom; polymorph energy (0 for the lowest one) = 0.0000 eV/atom; calculated volume = 98 Å³ per cell; ρ = 10070 kg/m³
1.0
-0.249 -4.734 -2.057
-3.710 -1.143 -3.410
1.197 -0.722 -4.974
Hg Tb Th
1 1 1
Cartesian
0.000 0.000 0.000
-0.691 -1.650 -2.610
-2.072 -4.949 -7.831

(6)
PBE Tb2ThHg, optimized geometry; ΔE_f = -0.26 eV per atom; calculated volume = 115 Å³ per cell; ρ = 10844 kg/m³
1.0
3.626 0.000 0.000
0.000 3.626 0.000
0.000 0.000 8.741
Hg Tb Th
1 2 1
Cartesian
1.813 1.813 0.000
0.000 0.000 1.976
0.000 0.000 6.765
1.813 1.813 4.371

(7)
PBE TbTlHg, optimized geometry; electronic total energy = -2.608 eV per atom; calculated volume = 85 Å³ per cell; ρ = 10989 kg/m³
1.0
-3.159 2.463 2.890
-3.676 2.608 -2.021
-4.667 -1.556 0.445
Hg Tb Tl
1 1 1
Cartesian
-2.876 0.879 0.329
-8.627 2.637 0.986
0.000 0.000 0.000

(8)
PBE Tb5Tl3Hg, optimized geometry; electronic total energy = -3.772 eV per atom; calculated volume = 505 Å³ per cell; ρ = 10584 kg/m³
1.0
9.280 0.000 0.000
-4.640 8.037 0.000
0.000 0.000 6.767
Hg Tb Tl
2 10 6
Cartesian
0.000 0.000 0.000
0.000 0.000 3.384
4.640 2.679 0.000
0.000 5.358 0.000
6.654 0.000 1.692
1.313 2.274 1.692
-3.327 5.763 1.692
4.640 2.679 3.384
0.000 5.358 3.384
2.626 0.000 5.076
-1.313 2.274 5.076
3.327 5.763 5.076
3.502 0.000 1.692
-1.751 3.033 1.692
2.889 5.004 1.692
5.778 0.000 5.076
1.751 3.033 5.076
-2.889 5.004 5.076

> The lowest ρ belongs to which entry?

number 1

> The highest ρ belongs to which entry?

TbTlHg

> The highest calculated volume belongs to which entry?

number 1

Repeat the seventh record exactly.
PBE TbTlHg, optimized geometry; electronic total energy = -2.608 eV per atom; calculated volume = 85 Å³ per cell; ρ = 10989 kg/m³
1.0
-3.159 2.463 2.890
-3.676 2.608 -2.021
-4.667 -1.556 0.445
Hg Tb Tl
1 1 1
Cartesian
-2.876 0.879 0.329
-8.627 2.637 0.986
0.000 0.000 0.000